Record 1
Density functional theory data (PBEsol) for an optimized crystal structure of NiGePtF2.

Lattice parameters (Å, degrees): 3.580 3.580 5.599 90.00 90.00 90.00
Sites, in units of the cell vectors:
Ni 0.000 0.000 0.000
Ge 0.000 0.000 0.500
Pt 0.500 0.500 0.500
F 0.000 0.500 0.000
F 0.500 0.000 0.000

Values from the calculation:
Total magnetization in μB/atom: 0.00
Symmetry: P4/mmm

---

Record 2
Density functional theory data (PBEsol) for an optimized crystal structure of GeO2F2.

Lattice parameters (Å, degrees): 3.591 3.822 3.822 90.00 90.00 90.00
Sites, in units of the cell vectors:
Ge 0.500 0.500 0.500
O 0.000 0.000 0.000
O 0.500 0.000 0.000
F 0.000 0.000 0.500
F 0.000 0.500 0.000

Values from the calculation:
Total magnetization in μB/atom: 0.00
Symmetry: P4/mmm

---

Record 3
Density functional theory data (PBEsol) for an optimized crystal structure of GePtOF2.

Lattice parameters (Å, degrees): 3.727 4.075 4.075 90.00 90.00 90.00
Sites, in units of the cell vectors:
Ge 0.000 0.000 0.000
O 0.500 0.000 0.000
Pt 0.500 0.500 0.500
F 0.000 0.000 0.500
F 0.000 0.500 0.000

Values from the calculation:
Total magnetization in μB/atom: 0.15
Symmetry: P4/mmm

---

Record 4
Density functional theory data (PBEsol) for an optimized crystal structure of GeTeO2F.

Lattice parameters (Å, degrees): 4.180 4.180 4.453 90.00 90.00 90.00
Sites, in units of the cell vectors:
Ge 0.500 0.500 0.500
Te 0.000 0.000 0.000
O 0.000 0.500 0.000
O 0.500 0.000 0.000
F 0.000 0.000 0.500

Values from the calculation:
Total magnetization in μB/atom: 0.01
Symmetry: P4/mmm

---

Record 5
Density functional theory data (PBEsol) for an optimized crystal structure of GeWO2F.

Lattice parameters (Å, degrees): 3.874 3.874 4.307 90.00 90.00 90.00
Sites, in units of the cell vectors:
Ge 0.500 0.500 0.500
O 0.000 0.500 0.000
O 0.500 0.000 0.000
W 0.000 0.000 0.000
F 0.000 0.000 0.500

Values from the calculation:
Total magnetization in μB/atom: 0.00
Symmetry: P4/mmm

---

Record 6
Density functional theory data (PBEsol) for an optimized crystal structure of YGeOF2.

Lattice parameters (Å, degrees): 4.095 4.271 4.271 90.00 90.00 90.00
Sites, in units of the cell vectors:
Y 0.500 0.500 0.500
Ge 0.000 0.000 0.000
O 0.500 0.000 0.000
F 0.000 0.000 0.500
F 0.000 0.500 0.000

Values from the calculation:
Total magnetization in μB/atom: 0.14
Symmetry: P4/mmm

---

Record 7
Density functional theory data (PBEsol) for an optimized crystal structure of ZnGeOF2.

Lattice parameters (Å, degrees): 3.697 4.177 4.177 90.00 90.00 90.00
Sites, in units of the cell vectors:
Ge 0.000 0.000 0.000
Zn 0.500 0.500 0.500
O 0.500 0.000 0.000
F 0.000 0.000 0.500
F 0.000 0.500 0.000

Values from the calculation:
Total magnetization in μB/atom: 0.09
Symmetry: P4/mmm

---

Record 8
Density functional theory data (PBEsol) for an optimized crystal structure of ZrGeOF2.

Lattice parameters (Å, degrees): 4.072 4.206 4.206 90.00 90.00 90.00
Sites, in units of the cell vectors:
Ge 0.000 0.000 0.000
O 0.500 0.000 0.000
Zr 0.500 0.500 0.500
F 0.000 0.000 0.500
F 0.000 0.500 0.000

Values from the calculation:
Total magnetization in μB/atom: 0.43
Symmetry: P4/mmm

---

Record 9
Density functional theory data (PBEsol) for an optimized crystal structure of GePdF3.

Lattice parameters (Å, degrees): 4.138 4.138 4.138 90.00 90.00 90.00
Sites, in units of the cell vectors:
Ge 0.000 0.000 0.000
Pd 0.500 0.500 0.500
F 0.000 0.500 0.000
F 0.000 0.000 0.500
F 0.500 0.000 0.000

Values from the calculation:
Total magnetization in μB/atom: 0.11
Symmetry: Pm-3m

---

Record 10
Density functional theory data (PBEsol) for an optimized crystal structure of YGe2PdF.

Lattice parameters (Å, degrees): 4.037 5.423 5.423 90.00 90.00 90.00
Sites, in units of the cell vectors:
Y 0.000 0.000 0.000
Ge 0.000 0.000 0.500
Ge 0.000 0.500 0.000
Pd 0.500 0.500 0.500
F 0.500 0.000 0.000

Values from the calculation:
Total magnetization in μB/atom: 0.00
Symmetry: P4/mmm

---

Record 11
Density functional theory data (PBEsol) for an optimized crystal structure of GePt2F.

Lattice parameters (Å, degrees): 4.226 4.226 4.226 60.00 60.00 60.00
Sites, in units of the cell vectors:
Ge 0.500 0.500 0.500
Pt 0.250 0.250 0.250
Pt 0.750 0.750 0.750
F 0.000 0.000 0.000

Values from the calculation:
Total magnetization in μB/atom: 0.00
Symmetry: Fm-3m

---

Record 12
Density functional theory data (PBEsol) for an optimized crystal structure of Rb3GeF7.

Lattice parameters (Å, degrees): 5.866 7.999 7.999 90.00 90.00 90.00
Sites, in units of the cell vectors:
Rb 0.500 0.692 0.192
Rb 0.500 0.308 0.808
Rb 0.500 0.192 0.308
Rb 0.500 0.808 0.692
Rb 0.000 0.000 0.000
Rb 0.000 0.500 0.500
Ge 0.000 0.500 0.000
Ge 0.000 0.000 0.500
F 0.222 0.112 0.612
F 0.778 0.888 0.388
F 0.222 0.888 0.388
F 0.222 0.612 0.888
F 0.778 0.612 0.888
F 0.778 0.112 0.612
F 0.778 0.388 0.112
F 0.222 0.388 0.112
F 0.000 0.660 0.160
F 0.000 0.340 0.840
F 0.000 0.160 0.340
F 0.000 0.840 0.660
F 0.500 0.000 0.000
F 0.500 0.500 0.500

Values from the calculation:
Total magnetization in μB/atom: 0.01
Symmetry: P4/mbm

---

Record 13
Density functional theory data (PBEsol) for an optimized crystal structure of RbGeF2.

Lattice parameters (Å, degrees): 3.970 3.970 6.862 73.18 73.18 60.00
Sites, in units of the cell vectors:
Ge 0.500 0.500 0.500
Rb 0.000 0.000 0.000
F 0.868 0.868 0.395
F 0.132 0.132 0.605

Values from the calculation:
Total magnetization in μB/atom: 0.12
Symmetry: R-3m

---

Record 14
Density functional theory data (PBEsol) for an optimized crystal structure of Rb2GeF6.

Lattice parameters (Å, degrees): 5.911 5.911 9.619 90.00 90.00 120.00
Sites, in units of the cell vectors:
Rb 0.000 0.000 0.403
Rb 0.000 0.000 0.903
Rb 0.667 0.333 0.126
Rb 0.333 0.667 0.626
Ge 0.667 0.333 0.743
Ge 0.333 0.667 0.243
F 0.522 0.478 0.854
F 0.478 0.955 0.354
F 0.045 0.522 0.354
F 0.955 0.478 0.854
F 0.522 0.045 0.854
F 0.478 0.522 0.354
F 0.186 0.814 0.138
F 0.814 0.629 0.638
F 0.371 0.186 0.638
F 0.629 0.814 0.138
F 0.186 0.371 0.138
F 0.814 0.186 0.638

Values from the calculation:
Total magnetization in μB/atom: 0.00
Symmetry: P6_3mc

---

Record 15
Density functional theory data (PBEsol) for an optimized crystal structure of Rb2GeF6.

Lattice parameters (Å, degrees): 5.995 5.995 5.995 60.00 60.00 60.00
Sites, in units of the cell vectors:
Rb 0.250 0.250 0.250
Rb 0.750 0.750 0.750
Ge 0.000 0.000 0.000
F 0.215 0.785 0.215
F 0.785 0.785 0.215
F 0.215 0.215 0.785
F 0.785 0.215 0.785
F 0.215 0.785 0.785
F 0.785 0.215 0.215

Values from the calculation:
Total magnetization in μB/atom: 0.00
Symmetry: Fm-3m

---

Record 16
Density functional theory data (PBEsol) for an optimized crystal structure of Rb2GeF6.

Lattice parameters (Å, degrees): 4.796 5.807 5.807 120.00 90.00 90.00
Sites, in units of the cell vectors:
Rb 0.299 0.667 0.333
Rb 0.701 0.333 0.667
Ge 0.000 0.000 0.000
F 0.214 0.150 0.300
F 0.214 0.150 0.850
F 0.214 0.700 0.850
F 0.786 0.850 0.700
F 0.786 0.850 0.150
F 0.786 0.300 0.150

Values from the calculation:
Total magnetization in μB/atom: 0.00
Symmetry: P-3m1

---

Record 17
Density functional theory data (PBEsol) for an optimized crystal structure of RbGeF3.

Lattice parameters (Å, degrees): 4.405 4.405 4.405 90.00 90.00 90.00
Sites, in units of the cell vectors:
Ge 0.000 0.000 0.000
Rb 0.500 0.500 0.500
F 0.000 0.500 0.000
F 0.000 0.000 0.500
F 0.500 0.000 0.000

Values from the calculation:
Total magnetization in μB/atom: 0.00
Symmetry: Pm-3m

---

Record 18
Density functional theory data (PBEsol) for an optimized crystal structure of ReGeSeF2.

Lattice parameters (Å, degrees): 3.937 3.937 5.774 90.00 90.00 90.00
Sites, in units of the cell vectors:
Re 0.500 0.500 0.500
Ge 0.000 0.000 0.000
Se 0.000 0.000 0.500
F 0.000 0.500 0.000
F 0.500 0.000 0.000

Values from the calculation:
Total magnetization in μB/atom: 0.80
Symmetry: P4/mmm

---

Record 19
Density functional theory data (PBEsol) for an optimized crystal structure of GeRuF2.

Lattice parameters (Å, degrees): 4.138 4.138 4.138 60.00 60.00 60.00
Sites, in units of the cell vectors:
Ru 0.500 0.500 0.500
Ge 0.000 0.000 0.000
F 0.250 0.250 0.250
F 0.750 0.750 0.750

Values from the calculation:
Total magnetization in μB/atom: 0.54
Symmetry: Fm-3m

---

Record 20
Density functional theory data (PBEsol) for an optimized crystal structure of Ge3RuF.

Lattice parameters (Å, degrees): 4.677 4.677 4.677 90.00 90.00 90.00
Sites, in units of the cell vectors:
Ru 0.000 0.000 0.000
Ge 0.000 0.500 0.000
Ge 0.000 0.000 0.500
Ge 0.500 0.000 0.000
F 0.500 0.500 0.500

Values from the calculation:
Total magnetization in μB/atom: 0.00
Symmetry: Pm-3m

---

Record 21
Density functional theory data (PBEsol) for an optimized crystal structure of Zn2GeRuF.

Lattice parameters (Å, degrees): 3.850 4.707 4.707 90.00 90.00 90.00
Sites, in units of the cell vectors:
Ru 0.500 0.500 0.500
Ge 0.000 0.000 0.000
Zn 0.000 0.000 0.500
Zn 0.000 0.500 0.000
F 0.500 0.000 0.000

Values from the calculation:
Total magnetization in μB/atom: 0.42
Symmetry: P4/mmm

---

Record 22
Density functional theory data (PBEsol) for an optimized crystal structure of GeS2F12.

Lattice parameters (Å, degrees): 5.978 7.646 9.297 90.00 90.00 90.00
Sites, in units of the cell vectors:
Ge 0.000 0.500 0.000
Ge 0.500 0.000 0.500
S 0.500 0.589 0.243
S 0.500 0.411 0.757
S 0.000 0.089 0.257
S 0.000 0.911 0.743
F 0.214 0.362 0.920
F 0.214 0.638 0.080
F 0.286 0.862 0.580
F 0.286 0.138 0.420
F 0.786 0.638 0.080
F 0.786 0.362 0.920
F 0.808 0.945 0.853
F 0.808 0.055 0.147
F 0.692 0.445 0.647
F 0.692 0.555 0.353
F 0.192 0.055 0.147
F 0.192 0.945 0.853
F 0.308 0.555 0.353
F 0.308 0.445 0.647
F 0.000 0.635 0.839
F 0.000 0.365 0.161
F 0.500 0.135 0.661
F 0.500 0.865 0.339
F 0.500 0.602 0.818
F 0.500 0.398 0.182
F 0.000 0.102 0.682
F 0.000 0.898 0.318
F 0.714 0.862 0.580
F 0.714 0.138 0.420

Values from the calculation:
Total magnetization in μB/atom: 0.00
Symmetry: Pnnm

---

Record 23
Density functional theory data (PBEsol) for an optimized crystal structure of GeSbF3.

Lattice parameters (Å, degrees): 4.381 4.381 4.381 90.00 90.00 90.00
Sites, in units of the cell vectors:
Sb 0.500 0.500 0.500
Ge 0.000 0.000 0.000
F 0.000 0.500 0.000
F 0.000 0.000 0.500
F 0.500 0.000 0.000

Values from the calculation:
Total magnetization in μB/atom: 0.39
Symmetry: Pm-3m

---

Record 24
Density functional theory data (PBEsol) for an optimized crystal structure of GeSbW2F.

Lattice parameters (Å, degrees): 4.213 4.213 4.619 90.00 90.00 90.00
Sites, in units of the cell vectors:
Sb 0.500 0.500 0.500
Ge 0.000 0.000 0.500
W 0.000 0.500 0.000
W 0.500 0.000 0.000
F 0.000 0.000 0.000

Values from the calculation:
Total magnetization in μB/atom: 0.00
Symmetry: P4/mmm

---

Record 25
Density functional theory data (PBEsol) for an optimized crystal structure of ScGeF2.

Lattice parameters (Å, degrees): 4.251 4.251 4.251 60.00 60.00 60.00
Sites, in units of the cell vectors:
Sc 0.000 0.000 0.000
Ge 0.500 0.500 0.500
F 0.250 0.250 0.250
F 0.750 0.750 0.750

Values from the calculation:
Total magnetization in μB/atom: 0.00
Symmetry: Fm-3m

---

Formation energy (no corrections)
In order: -0.675, -0.001, -0.487, -0.542, -1.128, -1.638, -1.170, -1.028, -1.088, -0.256, -0.452, -2.769, -1.478, -2.791, -2.792, -2.788, -2.350, -0.151, -0.268, -0.178, 0.512, -1.978, -1.150, 0.909, -1.438
Unit: eV/atom